No. 1
A geometry-optimized CuAs structure, computed with PBE.

The space group is P6_3/mmc (No. 194) and the conventional cell measures 3.7278, 3.7278 and 5.6562 Å, with angles of 90.00, 90.00 and 120.00 degrees. The inequivalent atoms are Cu at (0.3333, 0.6667, 0.2500) and As at (0.0000, 0.0000, 0.0000).

The raw total energy is -8.35 eV/f.u. Its density of states at the Fermi level is 1.08 states/eV/f.u. The calculation puts the formation enthalpy at 0 K at 0.20 eV/atom.



No. 2
A geometry-optimized KPu2MgCl8 structure, computed with PBE.

The space group is P2/m (No. 10) and the conventional cell measures 6.410, 8.594 and 6.569 Å, with angles of 90.00, 92.45 and 90.00 degrees. The inequivalent atoms are K at (0.000, 0.000, 0.000), Pu at (0.500, 0.259, 0.500), Mg at (0.000, 0.500, 0.000), Cl at (0.221, 0.293, 0.165), Cl at (0.265, 0.500, 0.678) and Cl at (0.279, 0.000, 0.635).

The raw formation energy comes out at -1.87 eV/atom. The raw total energy is -68.59 eV/f.u. Its density of states at the Fermi level is 28.18 states/eV/f.u.



No. 3
A geometry-optimized Er5Te4P structure, computed with PBE.

The space group is I4/mmm (No. 139) and the conventional cell measures 4.176, 4.176 and 31.307 Å, with angles of 90.00, 90.00 and 90.00 degrees. The inequivalent atoms are Er at (0.000, 0.000, 0.000), Er at (0.000, 0.000, 0.212), Er at (0.000, 0.000, 0.416), Te at (0.000, 0.000, 0.102), Te at (0.000, 0.000, 0.310) and P at (0.000, 0.000, 0.500).

The raw formation energy comes out at -1.33 eV/atom. The raw total energy is -54.06 eV/f.u. Its density of states at the Fermi level is 4.59 states/eV/f.u.



No. 4
A geometry-optimized TiOsPt2Au structure, computed with PBE.

The space group is P4/mmm (No. 123) and the conventional cell measures 4.683, 4.683 and 4.523 Å, with angles of 90.00, 90.00 and 90.00 degrees. The inequivalent atoms are Ti at (0.000, 0.000, 0.000), Os at (0.000, 0.000, 0.500), Pt at (0.000, 0.500, 0.000) and Au at (0.500, 0.500, 0.500).

The raw total energy is -29.20 eV/f.u. Its density of states at the Fermi level is 3.94 states/eV/f.u. The calculation puts the formation enthalpy at 0 K at 1.06 eV/atom.



No. 5
A geometry-optimized FeAsSe2 structure, computed with PBE.

The space group is Immm (No. 71) and the conventional cell measures 3.423, 4.242 and 12.186 Å, with angles of 90.00, 90.00 and 90.00 degrees. The inequivalent atoms are Fe at (0.000, 0.000, 0.000), As at (0.000, 0.000, 0.500) and Se at (0.000, 0.500, 0.356).

The raw formation energy comes out at 0.06 eV/atom. The raw total energy is -19.82 eV/f.u. Its density of states at the Fermi level is 3.77 states/eV/f.u.



No. 6
A geometry-optimized HfHgS2 structure, computed with PBE.

The space group is P3m1 (No. 156) and the conventional cell measures 3.6311, 3.6311 and 9.9155 Å, with angles of 90.00, 90.00 and 120.00 degrees. The inequivalent atoms are Hf at (0.0000, 0.0000, 0.0000), Hg at (0.3333, 0.6667, 0.4819), S at (0.3333, 0.6667, 0.8534) and S at (0.6667, 0.3333, 0.1465).

The raw formation energy comes out at -1.17 eV/atom. The raw total energy is -23.20 eV/f.u. Its density of states at the Fermi level is 0.00 states/eV/f.u.



No. 7
A geometry-optimized NdHoSiS structure, computed with PBE.

The space group is R3m (No. 160, hexagonal axes) and the conventional cell measures 4.0820, 4.0820 and 20.2724 Å, with angles of 90.00, 90.00 and 120.00 degrees. The inequivalent atoms are Nd at (0.0000, 0.0000, 0.0000), Ho at (0.0000, 0.0000, 0.5005), Si at (0.0000, 0.0000, 0.2472) and S at (0.0000, 0.0000, 0.7545).

The raw formation energy comes out at -1.35 eV/atom. The raw total energy is -24.28 eV/f.u. Its density of states at the Fermi level is 1.61 states/eV/f.u.



No. 8
A geometry-optimized MgZnTcSeO structure, computed with PBE.

The space group is R3m (No. 160, hexagonal axes) and the conventional cell measures 3.2716, 3.2716 and 26.2569 Å, with angles of 90.00, 90.00 and 120.00 degrees. The inequivalent atoms are Mg at (0.0000, 0.0000, 0.0000), Zn at (0.0000, 0.0000, 0.5704), Tc at (0.0000, 0.0000, 0.8303), Se at (0.0000, 0.0000, 0.1055) and O at (0.0000, 0.0000, 0.6501).

The raw formation energy comes out at -1.03 eV/atom. The value obtained for the energy above the lowest structure with this stoichiometry is 0 meV/atom. The raw total energy is -26.84 eV/f.u. Its density of states at the Fermi level is 0.92 states/eV/f.u.



No. 9
A geometry-optimized GaSn2Te2 structure, computed with PBE.

The space group is I4/mmm (No. 139) and the conventional cell measures 4.391, 4.391 and 16.237 Å, with angles of 90.00, 90.00 and 90.00 degrees. The inequivalent atoms are Ga at (0.000, 0.000, 0.000), Sn at (0.000, 0.500, 0.250) and Te at (0.000, 0.000, 0.408).

The raw formation energy comes out at 0.06 eV/atom. The value obtained for the energy above the lowest structure with this stoichiometry is 94 meV/atom. The raw total energy is -17.02 eV/f.u. Its density of states at the Fermi level is 3.10 states/eV/f.u.



No. 10
A geometry-optimized PmGeW structure, computed with PBE.

The space group is R-3m (No. 166, hexagonal axes) and the conventional cell measures 3.9881, 3.9881 and 32.1497 Å, with angles of 90.00, 90.00 and 120.00 degrees. The inequivalent atoms are Pm at (0.0000, 0.0000, 0.1174), Ge at (0.0000, 0.0000, 0.3937) and W at (0.0000, 0.0000, 0.3113).

The raw total energy is -22.25 eV/f.u. Its density of states at the Fermi level is 2.44 states/eV/f.u. The calculation puts the formation enthalpy at 0 K at 0.03 eV/atom.



No. 11
A geometry-optimized Pd2W structure, computed with PBE.

The space group is I4/mmm (No. 139) and the conventional cell measures 2.785, 2.785 and 11.957 Å, with angles of 90.00, 90.00 and 90.00 degrees. The inequivalent atoms are Pd at (0.000, 0.000, 0.162) and W at (0.000, 0.000, 0.500).

The raw total energy is -23.49 eV/f.u. Its density of states at the Fermi level is 3.16 states/eV/f.u. The calculation puts the formation enthalpy at 0 K at -0.05 eV/atom.



No. 12
A geometry-optimized LaEu2In structure, computed with PBE.

The space group is P4/mmm (No. 123) and the conventional cell measures 5.027, 5.027 and 5.278 Å, with angles of 90.00, 90.00 and 90.00 degrees. The inequivalent atoms are La at (0.000, 0.000, 0.000), Eu at (0.000, 0.500, 0.500) and In at (0.500, 0.500, 0.000).

The value obtained for the energy above the lowest structure with this stoichiometry is 0 meV/atom. The raw total energy is -29.15 eV/f.u. Its density of states at the Fermi level is 3.29 states/eV/f.u. The calculation puts the formation enthalpy at 0 K at -0.23 eV/atom.



No. 13
A geometry-optimized TlTcAs2 structure, computed with PBE.

The space group is Cm (No. 8) and the conventional cell measures 8.681, 3.189 and 6.728 Å, with angles of 90.00, 106.12 and 90.00 degrees. The inequivalent atoms are Tl at (0.000, 0.000, 0.000), Tc at (0.370, 0.000, 0.591), As at (0.162, 0.500, 0.628) and As at (0.314, 0.500, 0.300).

The value obtained for the energy above the lowest structure with this stoichiometry is 135 meV/atom. The raw total energy is -21.98 eV/f.u. Its density of states at the Fermi level is 1.12 states/eV/f.u. The calculation puts the formation enthalpy at 0 K at 0.01 eV/atom.



No. 14
A geometry-optimized La2RePt structure, computed with PBE.

The space group is P4/mmm (No. 123) and the conventional cell measures 3.666, 3.666 and 7.049 Å, with angles of 90.00, 90.00 and 90.00 degrees. The inequivalent atoms are La at (0.000, 0.000, 0.247), Re at (0.500, 0.500, 0.000) and Pt at (0.500, 0.500, 0.500).

The value obtained for the energy above the lowest structure with this stoichiometry is 34 meV/atom. The raw total energy is -29.20 eV/f.u. Its density of states at the Fermi level is 5.10 states/eV/f.u. The calculation puts the formation enthalpy at 0 K at -0.21 eV/atom.



No. 15
A geometry-optimized ZnPt2Rh structure, computed with PBE.

The space group is Pmm2 (No. 25) and the conventional cell measures 2.776, 4.535 and 4.729 Å, with angles of 90.00, 90.00 and 90.00 degrees. The inequivalent atoms are Zn at (0.000, 0.000, 0.000), Pt at (0.500, 0.000, 0.490), Pt at (0.500, 0.500, 0.866) and Rh at (0.000, 0.500, 0.369).

The raw total energy is -21.74 eV/f.u. Its density of states at the Fermi level is 3.67 states/eV/f.u. The calculation puts the formation enthalpy at 0 K at -0.26 eV/atom.



No. 16
A geometry-optimized Er3Th5Sc4 structure, computed with PBE.

The space group is P-1 (No. 2) and the conventional cell measures 6.021, 8.378 and 8.653 Å, with angles of 100.76, 110.23 and 110.91 degrees. The inequivalent atoms are Er at (0.000, 0.000, 0.000), Er at (0.372, 0.627, 0.619), Th at (0.028, 0.146, 0.403), Th at (0.310, 0.311, 0.844), Th at (0.500, 0.000, 0.000), Sc at (0.036, 0.414, 0.146) and Sc at (0.351, 0.862, 0.311).

The value obtained for the energy above the lowest structure with this stoichiometry is 0 meV/atom. The raw total energy is -74.05 eV/f.u. Its density of states at the Fermi level is 22.78 states/eV/f.u. The calculation puts the formation enthalpy at 0 K at 0.17 eV/atom.



No. 17
A geometry-optimized LaPmDySc structure, computed with PBE.

The space group is F-43m (No. 216) and the conventional cell measures 7.991, 7.991 and 7.991 Å, with angles of 90.00, 90.00 and 90.00 degrees. The inequivalent atoms are La at (0.000, 0.000, 0.000), Pm at (0.000, 0.000, 0.500), Dy at (0.250, 0.250, 0.750) and Sc at (0.250, 0.250, 0.250).

The value obtained for the energy above the lowest structure with this stoichiometry is 6 meV/atom. The raw total energy is -20.23 eV/f.u. Its density of states at the Fermi level is 6.65 states/eV/f.u. The calculation puts the formation enthalpy at 0 K at 0.10 eV/atom.



No. 18
A geometry-optimized AlSe2Br structure, computed with PBE.

The space group is R-3m (No. 166, hexagonal axes) and the conventional cell measures 3.8507, 3.8507 and 21.5327 Å, with angles of 90.00, 90.00 and 120.00 degrees. The inequivalent atoms are Al at (0.0000, 0.0000, 0.0000), Se at (0.0000, 0.0000, 0.2718) and Br at (0.0000, 0.0000, 0.5000).

The raw formation energy comes out at -0.27 eV/atom. The value obtained for the energy above the lowest structure with this stoichiometry is 304 meV/atom. The raw total energy is -13.47 eV/f.u. Its density of states at the Fermi level is 3.33 states/eV/f.u.



No. 19
A geometry-optimized TaTi2Te3 structure, computed with PBE.

The space group is C2/m (No. 12) and the conventional cell measures 16.179, 4.976 and 8.248 Å, with angles of 90.00, 119.71 and 90.00 degrees. The inequivalent atoms are Ta at (0.095, 0.000, 0.054), Ti at (0.057, 0.500, 0.200), Ti at (0.148, 0.000, 0.747), Te at (0.044, 0.000, 0.338), Te at (0.153, 0.500, 0.989) and Te at (0.203, 0.500, 0.624).

The raw formation energy comes out at -0.22 eV/atom. The raw total energy is -38.39 eV/f.u. Its density of states at the Fermi level is 5.90 states/eV/f.u.



No. 20
A geometry-optimized ScGeB2F structure, computed with PBE.

The space group is P4/mmm (No. 123) and the conventional cell measures 3.997, 3.997 and 4.274 Å, with angles of 90.00, 90.00 and 90.00 degrees. The inequivalent atoms are Sc at (0.000, 0.000, 0.000), Ge at (0.500, 0.500, 0.500), B at (0.000, 0.500, 0.500) and F at (0.500, 0.500, 0.000).

The raw formation energy comes out at 0.21 eV/atom. The raw total energy is -25.13 eV/f.u. Its density of states at the Fermi level is 2.65 states/eV/f.u.